[1]
Density functional theory data (GGA-PBE) for a relaxed structure of Nd2ThScBi5.

Space-group type: No. 123
Volume in Å³/f.u.: 388.2

Geometry as CIF:
```
data_Nd2ThScBi5
_space_group_name_H-M_alt 'P 1'
_space_group_IT_number 1
_space_group_name_Hall 'P 1'
_cell_length_a 5.802
_cell_length_b 5.802
_cell_length_c 11.532
_cell_angle_alpha 90.00
_cell_angle_beta 90.00
_cell_angle_gamma 90.00
loop_
_atom_site_label
_atom_site_fract_x
_atom_site_fract_y
_atom_site_fract_z
Nd1 0.000 0.000 0.208
Nd2 0.000 0.000 0.792
Th1 0.500 0.500 0.000
Sc1 0.500 0.500 0.500
Bi1 0.000 0.000 0.500
Bi2 0.000 0.500 0.000
Bi3 0.500 0.000 0.000
Bi4 0.500 0.500 0.264
Bi5 0.500 0.500 0.736
```

[2]
Density functional theory data (GGA-PBE) for a relaxed structure of Nd2ThScBi4.

Space-group type: No. 10
Volume in Å³/f.u.: 263.5

Geometry as CIF:
```
data_Nd2ThScBi4
_space_group_name_H-M_alt 'P 1'
_space_group_IT_number 1
_space_group_name_Hall 'P 1'
_cell_length_a 7.817
_cell_length_b 4.544
_cell_length_c 7.871
_cell_angle_alpha 90.00
_cell_angle_beta 109.52
_cell_angle_gamma 90.00
loop_
_atom_site_label
_atom_site_fract_x
_atom_site_fract_y
_atom_site_fract_z
Nd1 0.000 0.000 0.000
Nd2 0.500 0.500 0.000
Th1 0.000 0.500 0.500
Sc1 0.500 0.000 0.500
Bi1 0.258 0.000 0.743
Bi2 0.265 0.500 0.265
Bi3 0.735 0.500 0.735
Bi4 0.742 0.000 0.257
```

[3]
Density functional theory data (GGA-PBE) for a relaxed structure of NdTh2ScBi4.

Space-group type: No. 10
Volume in Å³/f.u.: 262.4

Geometry as CIF:
```
data_NdTh2ScBi4
_space_group_name_H-M_alt 'P 1'
_space_group_IT_number 1
_space_group_name_Hall 'P 1'
_cell_length_a 7.804
_cell_length_b 4.544
_cell_length_c 7.863
_cell_angle_alpha 90.00
_cell_angle_beta 109.73
_cell_angle_gamma 90.00
loop_
_atom_site_label
_atom_site_fract_x
_atom_site_fract_y
_atom_site_fract_z
Nd1 0.000 0.000 0.000
Th1 0.500 0.000 0.500
Th2 0.500 0.500 0.000
Sc1 0.000 0.500 0.500
Bi1 0.235 0.000 0.735
Bi2 0.242 0.500 0.257
Bi3 0.758 0.500 0.743
Bi4 0.765 0.000 0.265
```

Number 1: total energy -42.0 eV for the cell shown. Number 2: total energy -45.0 eV for the cell shown. Number 3: total energy -46.8 eV for the cell shown.